A plane-wave DFT calculation with PBE-GGA was carried out for a geometry-optimized LiTc2Se structure.

Energy ... -25.1 eV per formula unit
N(E_F) ... 2.8 states/eV per cell
Formation energy from raw total energies ... 0.265 eV per atom

```
LiTc2Se
1.0
4.6945 0.0000 0.0000
0.0000 3.1294 0.0163
0.0000 -0.2695 4.3080
Li Se Tc
1 1 2
Cartesian
2.3473 0.7150 1.0811
2.3473 2.1449 3.2432
0.0000 2.9234 0.1180
0.0000 1.6360 2.0605
```